Entry from Alexandria: crystalline NaTmZn2 at its relaxed geometry (PBE).

The space group is P4/mmm (No. 123) and the conventional cell measures 5.1142, 5.1142 and 3.3457 Å, with angles of 90.00, 90.00 and 90.00 degrees. The asymmetric unit holds Na at (0.0000, 0.0000, 0.0000), Tm at (0.5000, 0.5000, 0.0000) and Zn at (0.0000, 0.5000, 0.5000).

As for the energy above the most stable polymorph in this dataset: 0.0 kJ per mole of atoms. Its formation energy is -0.09 eV/atom.